Record 1
A plane-wave DFT calculation with PBE-GGA was carried out for a relaxed structure of Sm3DyTe3.

The calculation puts the formation energy without anion corrections at -1.066 eV/atom. The density of states at the Fermi level comes out at 36.0 states/eV per cell. The total magnetic moment comes out at 0.000 μB/atom. The density comes out at 7.643 g/cm³. The calculation puts the total energy at -213.89 eV per cell.

The space group is R-3 (No. 148, hexagonal axes) and the conventional cell measures 9.0900, 9.0900 and 18.1511 Å, with angles of 90.00, 90.00 and 120.00 degrees. The asymmetric unit holds Sm at (0.0059, 0.2527, 0.4142), Dy at (0.0000, 0.0000, 0.1844) and Te at (0.0163, 0.4008, 0.5804).

---

Record 2
A plane-wave DFT calculation with PBE-GGA was carried out for a relaxed structure of SmDy4Te5.

The calculation puts the formation energy without anion corrections at -1.301 eV/atom. The density of states at the Fermi level comes out at 10.7 states/eV per cell. The total magnetic moment comes out at 0.000 μB/atom. The density comes out at 8.074 g/cm³. The calculation puts the total energy at -103.69 eV per cell.

The space group is I4/mmm (No. 139) and the conventional cell measures 4.344, 4.344 and 31.359 Å, with angles of 90.00, 90.00 and 90.00 degrees. The asymmetric unit holds Sm at (0.000, 0.000, 0.000), Dy at (0.000, 0.000, 0.208), Dy at (0.000, 0.000, 0.405), Te at (0.000, 0.000, 0.104), Te at (0.000, 0.000, 0.306) and Te at (0.000, 0.000, 0.500).

---

Record 3
A plane-wave DFT calculation with PBE-GGA was carried out for a relaxed structure of Sm3Dy5Te8.

The calculation puts the formation energy without anion corrections at -1.314 eV/atom. The density of states at the Fermi level comes out at 35.8 states/eV per cell. The total magnetic moment comes out at 0.000 μB/atom. The density comes out at 7.933 g/cm³. The calculation puts the total energy at -250.00 eV per cell.

The space group is R-3m (No. 166, hexagonal axes) and the conventional cell measures 8.7581, 8.7581 and 21.5947 Å, with angles of 90.00, 90.00 and 120.00 degrees. The asymmetric unit holds Sm at (0.0000, 0.5000, 0.0000), Dy at (0.0000, 0.0000, 0.0000), Dy at (0.0000, 0.0000, 0.5000), Dy at (0.0000, 0.5000, 0.5000), Te at (0.0000, 0.0000, 0.2474) and Te at (0.0035, 0.5017, 0.7517).

---

Record 4
A plane-wave DFT calculation with PBE-GGA was carried out for a relaxed structure of Sm2Dy3Te8.

The calculation puts the formation energy without anion corrections at -1.275 eV/atom. The density of states at the Fermi level comes out at 12.5 states/eV per cell. The total magnetic moment comes out at 0.000 μB/atom. The density comes out at 6.216 g/cm³. The calculation puts the total energy at -129.89 eV per cell.

The space group is C2/m (No. 12) and the conventional cell measures 15.441, 8.752 and 7.546 Å, with angles of 90.00, 108.59 and 90.00 degrees. The asymmetric unit holds Sm at (0.249, 0.000, 0.169), Dy at (0.000, 0.243, 0.500), Dy at (0.000, 0.500, 0.000), Te at (0.118, 0.000, 0.407), Te at (0.119, 0.500, 0.414) and Te at (0.120, 0.252, 0.912).

---

Record 5
A plane-wave DFT calculation with PBE-GGA was carried out for a relaxed structure of Sm2Dy2Te5.

The calculation puts the formation energy without anion corrections at -1.227 eV/atom. The density of states at the Fermi level comes out at 10.9 states/eV per cell. The total magnetic moment comes out at 0.000 μB/atom. The density comes out at 7.607 g/cm³. The calculation puts the total energy at -90.78 eV per cell.

The space group is C2/m (No. 12) and the conventional cell measures 16.195, 5.448 and 6.558 Å, with angles of 90.00, 107.53 and 90.00 degrees. The asymmetric unit holds Sm at (0.090, 0.000, 0.362), Dy at (0.194, 0.500, 0.798), Te at (0.000, 0.500, 0.500), Te at (0.114, 0.000, 0.892) and Te at (0.204, 0.500, 0.321).

---

Record 6
A plane-wave DFT calculation with PBE-GGA was carried out for a relaxed structure of SmDy2Te3.

The calculation puts the formation energy without anion corrections at -1.313 eV/atom. The density of states at the Fermi level comes out at 5.5 states/eV per cell. The total magnetic moment comes out at 0.000 μB/atom. The density comes out at 7.973 g/cm³. The calculation puts the total energy at -62.46 eV per cell.

The space group is Immm (No. 71) and the conventional cell measures 4.410, 6.175 and 13.126 Å, with angles of 90.00, 90.00 and 90.00 degrees. The asymmetric unit holds Sm at (0.000, 0.000, 0.000), Dy at (0.000, 0.000, 0.340), Te at (0.000, 0.500, 0.000) and Te at (0.000, 0.500, 0.327).